1.
## USn2Pt (PBE)

Data for a relaxed structure of USn2Pt.

The structure in extended XYZ format:
```
4
Lattice="4.4531 0.0000 0.0000 0.0000 4.4531 0.0000 0.0000 0.0000 4.4816" Properties=species:S:1:pos:R:3 pbc="T T T"
U 0.0000 0.0000 0.0000
Sn 0.0000 2.2265 2.2408
Sn 2.2265 0.0000 2.2408
Pt 2.2265 2.2265 0.0000
```

2.
## USnPt2 (PBE)

Data for a relaxed structure of USnPt2.

The structure in extended XYZ format:
```
4
Lattice="4.8003 0.0000 0.0000 0.0000 4.8003 0.0000 0.0000 0.0000 3.5470" Properties=species:S:1:pos:R:3 pbc="T T T"
U 0.0000 0.0000 0.0000
Sn 2.4001 2.4001 0.0000
Pt 0.0000 2.4001 1.7735
Pt 2.4001 0.0000 1.7735
```

3.
## USnPt2 (PBE)

Data for a relaxed structure of USnPt2.

The structure in extended XYZ format:
```
4
Lattice="2.0347 1.1747 6.2783 -2.0347 1.1747 6.2783 0.0000 -2.3495 6.2783" Properties=species:S:1:pos:R:3 pbc="T T T"
U 0.0000 0.0000 0.0000
Sn 0.0000 0.0000 15.5696
Pt 0.0000 0.0000 7.8710
Pt 0.0000 0.0000 10.9329
```

4.
## U2SnPt2 (PBE)

Data for a relaxed structure of U2SnPt2.

The structure in extended XYZ format:
```
20
Lattice="7.7303 0.0000 0.0000 0.0000 7.7303 0.0000 0.0000 0.0000 7.3130" Properties=species:S:1:pos:R:3 pbc="T T T"
U 1.1510 1.1510 0.0000
U 1.4578 1.4578 3.6565
U 2.4073 5.3230 0.0000
U 2.7141 5.0161 3.6565
U 5.0161 2.7141 3.6565
U 5.3230 2.4073 0.0000
U 6.2724 6.2724 3.6565
U 6.5793 6.5793 0.0000
Sn 0.0000 3.8651 1.8283
Sn 0.0000 3.8651 5.4848
Sn 3.8651 0.0000 1.8283
Sn 3.8651 0.0000 5.4848
Pt 1.0261 6.7042 2.1023
Pt 1.0261 6.7042 5.2108
Pt 2.8390 2.8390 1.5542
Pt 2.8390 2.8390 5.7588
Pt 4.8913 4.8913 1.5542
Pt 4.8913 4.8913 5.7588
Pt 6.7042 1.0261 2.1023
Pt 6.7042 1.0261 5.2108
```

5.
## USnPt2 (PBE)

Data for a relaxed structure of USnPt2.

The structure in extended XYZ format:
```
4
Lattice="3.3110 0.0000 0.0000 0.0000 3.3110 0.0000 0.0000 0.0000 7.3628" Properties=species:S:1:pos:R:3 pbc="T T T"
U 0.0000 0.0000 0.0000
Sn 0.0000 0.0000 3.6814
Pt 1.6555 1.6555 1.7473
Pt 1.6555 1.6555 5.6155
```

6.
## U2SnPt9 (PBE)

Data for a relaxed structure of U2SnPt9.

The structure in extended XYZ format:
```
12
Lattice="4.1349 0.0000 0.0000 0.0000 4.1349 0.0000 0.0000 0.0000 12.3542" Properties=species:S:1:pos:R:3 pbc="T T T"
U 0.0000 0.0000 2.0917
U 0.0000 0.0000 10.2625
Sn 0.0000 0.0000 6.1771
Pt 0.0000 2.0675 0.0000
Pt 0.0000 2.0675 4.1345
Pt 0.0000 2.0675 8.2198
Pt 2.0675 0.0000 0.0000
Pt 2.0675 0.0000 4.1345
Pt 2.0675 0.0000 8.2198
Pt 2.0675 2.0675 2.0956
Pt 2.0675 2.0675 6.1771
Pt 2.0675 2.0675 10.2586
```

7.
## USn3Pt12 (PBE)

Data for a relaxed structure of USn3Pt12.

The structure in extended XYZ format:
```
16
Lattice="4.0840 0.0000 0.0000 0.0000 4.0840 0.0000 0.0000 0.0000 16.3647" Properties=species:S:1:pos:R:3 pbc="T T T"
U 0.0000 0.0000 0.0000
Sn 0.0000 0.0000 4.1739
Sn 0.0000 0.0000 8.1824
Sn 0.0000 0.0000 12.1908
Pt 0.0000 2.0420 2.0639
Pt 0.0000 2.0420 6.1620
Pt 0.0000 2.0420 10.2028
Pt 0.0000 2.0420 14.3008
Pt 2.0420 0.0000 2.0639
Pt 2.0420 0.0000 6.1620
Pt 2.0420 0.0000 10.2028
Pt 2.0420 0.0000 14.3008
Pt 2.0420 2.0420 0.0000
Pt 2.0420 2.0420 4.1264
Pt 2.0420 2.0420 8.1824
Pt 2.0420 2.0420 12.2384
```

8.
## UZnSnPt (PBE)

Data for a relaxed structure of UZnSnPt.

The structure in extended XYZ format:
```
4
Lattice="0.0000 3.4305 3.4305 3.4305 0.0000 3.4305 3.4305 3.4305 0.0000" Properties=species:S:1:pos:R:3 pbc="T T T"
U 0.0000 0.0000 0.0000
Zn 5.1457 5.1457 5.1457
Sn 3.4305 3.4305 3.4305
Pt 1.7152 1.7152 1.7152
```

In Å³ per atom, the V values for the records above are, in order, 22.22; 20.43; 22.51; 21.85; 20.18; 17.60; 17.06; 20.19.
In eV/atom, the energy relative to the elements values for the records above are, in order, -0.264; -0.417; -0.507; -0.600; -0.490; -0.611; -0.478; -0.317.